# 1
CdSI3 | PBE | optimized geometry Values from VASP.

Results
E_form (uncorrected) ... 0.23 eV/atom
SG ... Pm-3m (221)
Final energy ... -0.1259 Ry/atom

Quantum ESPRESSO input file:
```
&SYSTEM
  ibrav = 0, nat = 5, ntyp = 3
/
ATOMIC_SPECIES
I 126.90 I.upf
S 32.06 S.upf
Cd 112.41 Cd.upf
CELL_PARAMETERS angstrom
-2.514 -0.713 -4.933
3.397 -4.288 -1.111
-3.647 -3.503 2.365
ATOMIC_POSITIONS angstrom
I 1.699 -2.144 -0.556
I -1.824 -1.751 1.183
I -1.257 -0.357 -2.467
S 0.000 0.000 0.000
Cd -1.382 -4.252 -1.839
```



# 2
Sn2BOsPb | PBE | optimized geometry Values from VASP.

Results
Calculated formation energy ... 2.46 eV per atom
SG ... P4/mmm (123)
Final energy ... -0.2547 Ry/atom

Quantum ESPRESSO input file:
```
&SYSTEM
  ibrav = 0, nat = 5, ntyp = 4
/
ATOMIC_SPECIES
Pb 207.20 Pb.upf
B 10.81 B.upf
Os 190.23 Os.upf
Sn 118.71 Sn.upf
CELL_PARAMETERS angstrom
-5.339 0.734 2.077
-1.947 -1.765 -4.381
0.088 -5.370 2.124
ATOMIC_POSITIONS angstrom
Pb 0.000 0.000 0.000
B -3.599 -3.201 -0.090
Os -0.973 -0.882 -2.191
Sn 0.044 -2.685 1.062
Sn -2.670 0.367 1.039
```



# 3
Lu2IrRh | PBE | optimized geometry Values from VASP.

Results
Calculated formation energy ... -1.01 eV per atom
Relative energy among the computed polymorphs ... 0.0 meV per atom
SG ... Fm-3m (225)
Final energy ... -0.5384 Ry/atom

Quantum ESPRESSO input file:
```
&SYSTEM
  ibrav = 0, nat = 4, ntyp = 3
/
ATOMIC_SPECIES
Rh 102.91 Rh.upf
Ir 192.22 Ir.upf
Lu 174.97 Lu.upf
CELL_PARAMETERS angstrom
4.741 0.000 0.000
2.370 4.105 0.000
2.370 1.368 3.871
ATOMIC_POSITIONS angstrom
Rh 0.000 0.000 0.000
Ir 4.741 2.737 1.935
Lu 2.370 1.368 0.968
Lu 7.111 4.105 2.903
```



# 4
HAu | PBE | optimized geometry Values from VASP.

Results
SG ... F-43m (216)
Final energy ... -0.2174 Ry/atom

Quantum ESPRESSO input file:
```
&SYSTEM
  ibrav = 0, nat = 8, ntyp = 2
/
ATOMIC_SPECIES
H 1.01 H.upf
Au 196.97 Au.upf
CELL_PARAMETERS angstrom
4.532 0.000 0.000
0.000 4.532 0.000
0.000 0.000 4.532
ATOMIC_POSITIONS angstrom
H 1.133 1.133 1.133
H 1.133 3.399 3.399
H 3.399 1.133 3.399
H 3.399 3.399 1.133
Au 0.000 0.000 0.000
Au 0.000 2.266 2.266
Au 2.266 0.000 2.266
Au 2.266 2.266 0.000
```